[1]
Crystalline Na2HgH2 at its relaxed geometry. Source: Alexandria, functional PBE-GGA.

The structure in extended XYZ format:
```
10
Lattice="7.0554 0.0000 0.0000 0.0000 7.0554 0.0000 0.0000 0.0000 3.1642" Properties=species:S:1:pos:R:3 pbc="T T T"
Na 1.0629 2.4648 0.0000
Na 2.4648 5.9925 0.0000
Na 4.5906 1.0629 0.0000
Na 5.9925 4.5906 0.0000
Hg 0.0000 0.0000 1.5821
Hg 3.5277 3.5277 1.5821
H 1.0304 4.5581 1.5821
H 2.4972 1.0304 1.5821
H 4.5581 6.0249 1.5821
H 6.0249 2.4972 1.5821
```

DOS(E_F)   0.1 states/eV/cell
Excess energy over the best structure of this formula in the dataset   66 meV/atom


[2]
Crystalline Na2HgH at its relaxed geometry. Source: Alexandria, functional PBE-GGA.

The structure in extended XYZ format:
```
4
Lattice="3.1475 0.0000 0.0000 0.0000 3.1475 0.0000 0.0000 0.0000 7.8653" Properties=species:S:1:pos:R:3 pbc="T T T"
Na 0.0000 0.0000 1.4788
Na 0.0000 0.0000 6.3866
Hg 1.5737 1.5737 3.9327
H 1.5737 1.5737 0.0000
```

DOS(E_F)   0.6 states/eV/cell
Excess energy over the best structure of this formula in the dataset   50 meV/atom


[3]
Crystalline Na2NiHg2H4 at its relaxed geometry. Source: Alexandria, functional PBE-GGA.

The structure in extended XYZ format:
```
9
Lattice="-2.9916 2.9916 4.0380 2.9916 -2.9916 4.0380 2.9916 2.9916 -4.0380" Properties=species:S:1:pos:R:3 pbc="T T T"
Na 2.9916 0.0000 2.0190
Na 0.0000 2.9916 2.0190
Ni 0.0000 0.0000 0.0000
Hg 0.0000 0.0000 2.6147
Hg 0.0000 0.0000 5.4613
H 1.0951 1.0951 0.0000
H 1.8965 -1.8965 4.0380
H -1.8965 1.8965 4.0380
H 1.8965 1.8965 4.0380
```

DOS(E_F)   0.3 states/eV/cell
Total energy   -0.185 Ry/atom


[4]
Crystalline NaHgHO2 at its relaxed geometry. Source: Alexandria, functional PBE-GGA.

The structure in extended XYZ format:
```
10
Lattice="3.5620 -5.3226 0.0000 3.5620 5.3226 0.0000 0.0000 0.0000 3.5963" Properties=species:S:1:pos:R:3 pbc="T T T"
Na 3.5620 2.6613 2.7924
Na 3.5620 -2.6613 0.8040
Hg 1.7810 0.0000 0.0000
Hg 5.3430 0.0000 0.0000
H 0.0000 0.0000 1.7982
H 3.5620 0.0000 1.7982
O 3.5620 4.3127 1.0754
O 3.5620 1.0099 1.0754
O 3.5620 -1.0099 2.5209
O 3.5620 -4.3127 2.5209
```

Total energy   -0.275 Ry/atom


[5]
Crystalline NaHg2HPb at its relaxed geometry. Source: Alexandria, functional PBE-GGA.

The structure in extended XYZ format:
```
5
Lattice="5.2182 0.0000 0.0000 0.0000 5.2182 0.0000 0.0000 0.0000 4.0692" Properties=species:S:1:pos:R:3 pbc="T T T"
Na 0.0000 0.0000 0.0000
Hg 0.0000 2.6091 2.0346
Hg 2.6091 0.0000 2.0346
H 0.0000 0.0000 2.0346
Pb 2.6091 2.6091 0.0000
```

DOS(E_F)   2.0 states/eV/cell
Total energy   -0.126 Ry/atom


[6]
Crystalline Na2HgHPb at its relaxed geometry. Source: Alexandria, functional PBE-GGA.

The structure in extended XYZ format:
```
5
Lattice="4.5177 0.0000 0.0000 0.0000 4.5177 0.0000 0.0000 0.0000 5.4902" Properties=species:S:1:pos:R:3 pbc="T T T"
Na 0.0000 2.2589 0.0000
Na 2.2589 0.0000 0.0000
Hg 0.0000 0.0000 2.7451
H 0.0000 0.0000 0.0000
Pb 2.2589 2.2589 2.7451
```

DOS(E_F)   3.0 states/eV/cell
Excess energy over the best structure of this formula in the dataset   9 meV/atom